(1)
The following is a PBE-GGA calculation of crystalline InTc2As at its relaxed geometry, from Alexandria.

Results
size of the total moment	0.00	μB/f.u.
ΔE_f	19.3	kJ/mol of atoms

Lattice parameters (Å, degrees): 4.411 4.411 5.491 103.65 103.65 41.15
Positions (direct):
In 0.000 0.000 0.000
Tc 0.233 0.233 0.699
Tc 0.767 0.767 0.301
As 0.500 0.500 0.500

(2)
The following is a PBE-GGA calculation of crystalline KAl2TlH at its relaxed geometry, from Alexandria.

Results
size of the total moment	0.00	μB/f.u.
total energy	-9.1	eV per formula unit

Lattice parameters (Å, degrees): 6.116 6.116 4.175 90.00 90.00 90.00
Positions (direct):
K 0.000 0.000 0.000
Al 0.000 0.500 0.000
Al 0.500 0.000 0.000
Tl 0.500 0.500 0.500
H 0.000 0.000 0.500

(3)
The following is a PBE-GGA calculation of crystalline Sb2Au at its relaxed geometry, from Alexandria.

Results
size of the total moment	0.00	μB/f.u.
formation energy without anion corrections	0.56	eV/atom

Lattice parameters (Å, degrees): 6.124 6.124 6.124 60.00 60.00 60.00
Positions (direct):
Sb 0.000 0.000 0.000
Sb 0.000 0.000 0.500
Sb 0.000 0.500 0.000
Sb 0.500 0.000 0.000
Au 0.375 0.375 0.375
Au 0.625 0.625 0.625

(4)
The following is a PBE-GGA calculation of crystalline Zn2Ga3Sn at its relaxed geometry, from Alexandria.

Results
size of the total moment	0.00	μB/f.u.
ΔE_f	9.2	kJ/mol of atoms

Lattice parameters (Å, degrees): 7.485 7.485 7.485 51.66 51.66 51.66
Positions (direct):
Zn 0.000 0.000 0.000
Zn 0.000 0.500 0.500
Zn 0.500 0.000 0.500
Zn 0.500 0.500 0.000
Ga 0.248 0.718 0.718
Ga 0.282 0.282 0.752
Ga 0.282 0.752 0.282
Ga 0.718 0.248 0.718
Ga 0.718 0.718 0.248
Ga 0.752 0.282 0.282
Sn 0.218 0.218 0.218
Sn 0.782 0.782 0.782

(5)
The following is a PBE-GGA calculation of crystalline La6Ga2Si at its relaxed geometry, from Alexandria.

Results
size of the total moment	0.00	μB/f.u.
formation energy without anion corrections	-0.39	eV/atom

Lattice parameters (Å, degrees): 8.946 8.946 8.946 112.08 109.19 107.18
Positions (direct):
La 0.054 0.246 0.807
La 0.167 0.453 0.286
La 0.167 0.881 0.714
La 0.329 0.239 0.568
La 0.329 0.761 0.090
La 0.439 0.246 0.193
La 0.561 0.754 0.807
La 0.671 0.239 0.910
La 0.671 0.761 0.432
La 0.833 0.119 0.286
La 0.833 0.547 0.714
La 0.946 0.754 0.193
Ga 0.137 0.500 0.637
Ga 0.378 0.878 0.500
Ga 0.622 0.122 0.500
Ga 0.863 0.500 0.363
Si 0.000 0.000 0.000
Si 0.500 0.500 0.000

(6)
The following is a PBE-GGA calculation of crystalline HgP at its relaxed geometry, from Alexandria.

Results
size of the total moment	0.00	μB/f.u.
ΔE_f	37.1	kJ/mol of atoms

Lattice parameters (Å, degrees): 6.781 6.781 6.781 98.87 98.87 133.77
Positions (direct):
Hg 0.054 0.716 0.770
Hg 0.284 0.054 0.337
Hg 0.716 0.946 0.663
Hg 0.946 0.284 0.230
P 0.222 0.331 0.554
P 0.331 0.778 0.109
P 0.669 0.222 0.891
P 0.778 0.669 0.446